Computed, not measured: an optimized crystal structure of NpGa8Fe4 at the PBE level of DFT.

Values from the calculation:
Its density is 8.8 g cm⁻³. Its formation energy from the elements is -0.158 eV/atom.

Lattice parameters (Å, degrees): 5.024 6.689 6.689 81.89 67.94 67.94
Last column: magnetic moment on the atom in μB.
Element x y z (fractional)
Np 0.000 0.000 0.000  3.64
Ga 0.000 0.339 0.661  -0.04
Ga 0.000 0.661 0.339  -0.04
Ga 0.339 0.661 0.661  -0.04
Ga 0.661 0.339 0.339  -0.04
Ga 0.500 0.779 0.221  -0.04
Ga 0.500 0.221 0.779  -0.04
Ga 0.279 0.221 0.221  -0.04
Ga 0.721 0.779 0.779  -0.04
Fe 0.000 0.000 0.500  1.75
Fe 0.500 0.000 0.500  1.75
Fe 0.000 0.500 0.000  1.75
Fe 0.500 0.500 0.000  1.75